Record 1
Here is a relaxed LiInSn crystal from Alexandria. Energies are from PBE.

Output
As for the space-group type: P4_122 (91). The calculated total energy comes out at -3.014 eV per atom. The total magnetic moment is 0.00 μB/cell.

Cell lengths 5.612, 5.612, 9.242 Å; angles 90.00, 90.00, 90.00 degrees
Sites, in units of the cell vectors:
In  0.756  0.756  0.375
In  0.244  0.244  0.875
In  0.244  0.756  0.625
In  0.756  0.244  0.125
Sn  0.759  0.500  0.750
Sn  0.500  0.759  0.000
Sn  0.241  0.500  0.250
Sn  0.500  0.241  0.500
Li  0.258  0.000  0.250
Li  0.000  0.742  0.000
Li  0.742  0.000  0.750
Li  0.000  0.258  0.500


Record 2
Here is a relaxed ZnP2PtO crystal from Alexandria. Energies are from PBE.

Output
The offset from the most stable computed form comes out at 0.000 eV per atom. The uncorrected formation energy comes out at 0.485 eV per atom. As for the space-group type: P4/mmm (123). The calculated total energy comes out at -4.133 eV per atom. The total magnetic moment is 0.65 μB/cell.

Cell lengths 4.873, 4.873, 3.782 Å; angles 90.00, 90.00, 90.00 degrees
Sites, in units of the cell vectors:
P  0.000  0.500  0.000
P  0.500  0.000  0.000
Pt  0.000  0.000  0.000
Zn  0.500  0.500  0.500
O  0.000  0.000  0.500


Record 3
Here is a relaxed Tl8Cd3Sn2 crystal from Alexandria. Energies are from PBE.

Output
As for the space-group type: P2/m (10). The calculated total energy comes out at -2.202 eV per atom. The total magnetic moment is 0.00 μB/cell.

Cell lengths 4.904, 10.736, 9.348 Å; angles 123.27, 90.00, 90.00 degrees
Sites, in units of the cell vectors:
Cd  0.000  0.234  0.995
Cd  0.500  0.000  0.000
Cd  0.000  0.766  0.005
Tl  0.500  0.380  0.257
Tl  0.000  0.865  0.729
Tl  0.500  0.620  0.743
Tl  0.000  0.608  0.221
Tl  0.000  0.392  0.779
Tl  0.500  0.113  0.731
Tl  0.000  0.135  0.271
Tl  0.500  0.887  0.269
Sn  0.500  0.262  0.518
Sn  0.500  0.738  0.482


Record 4
Here is a relaxed Ni4Se8Cl crystal from Alexandria. Energies are from PBE.

Output
The uncorrected formation energy comes out at -0.251 eV per atom. As for the space-group type: Cm (8). The calculated total energy comes out at -4.316 eV per atom. The total magnetic moment is 0.00 μB/cell.

Cell lengths 3.629, 7.918, 9.256 Å; angles 75.21, 78.69, 76.75 degrees
Sites, in units of the cell vectors:
Se  0.788  0.354  0.070
Se  0.551  0.718  0.181
Se  0.481  0.286  0.752
Se  0.826  0.031  0.316
Se  0.204  0.974  0.617
Se  0.111  0.372  0.406
Se  0.920  0.633  0.527
Se  0.244  0.649  0.863
Cl  0.516  0.000  0.968
Ni  0.383  0.822  0.412
Ni  0.866  0.477  0.791
Ni  0.648  0.182  0.521
Ni  0.166  0.526  0.142


Record 5
Here is a relaxed V3Pd2C crystal from Alexandria. Energies are from PBE.

Output
The offset from the most stable computed form comes out at 0.141 eV per atom. As for the space-group type: C2/c (15). The calculated total energy comes out at -7.892 eV per atom. The total magnetic moment is 0.01 μB/cell.

Cell lengths 4.923, 6.530, 6.530 Å; angles 106.54, 111.51, 111.51 degrees
Sites, in units of the cell vectors:
V  0.562  0.591  0.724
V  0.062  0.724  0.591
V  0.000  0.500  0.000
V  0.500  0.000  0.500
V  0.938  0.276  0.409
V  0.438  0.409  0.276
Pd  0.750  0.793  0.207
Pd  0.250  0.944  0.056
Pd  0.250  0.207  0.793
Pd  0.750  0.056  0.944
C  0.750  0.403  0.597
C  0.250  0.597  0.403


Record 6
Here is a relaxed TeIr2Cl crystal from Alexandria. Energies are from PBE.

Output
The offset from the most stable computed form comes out at 0.000 eV per atom. The uncorrected formation energy comes out at 0.101 eV per atom. As for the space-group type: Pm (6). The calculated total energy comes out at -5.577 eV per atom. The total magnetic moment is 0.00 μB/cell.

Cell lengths 3.605, 2.946, 8.224 Å; angles 89.77, 90.00, 90.00 degrees
Sites, in units of the cell vectors:
Ir  0.500  0.374  0.197
Ir  0.000  0.876  0.034
Te  0.000  0.371  0.426
Cl  0.500  0.878  0.843


Copy entry 2 word for word.
Here is a relaxed ZnP2PtO crystal from Alexandria. Energies are from PBE.

Output
The offset from the most stable computed form comes out at 0.000 eV per atom. The uncorrected formation energy comes out at 0.485 eV per atom. As for the space-group type: P4/mmm (123). The calculated total energy comes out at -4.133 eV per atom. The total magnetic moment is 0.65 μB/cell.

Cell lengths 4.873, 4.873, 3.782 Å; angles 90.00, 90.00, 90.00 degrees
Sites, in units of the cell vectors:
P  0.000  0.500  0.000
P  0.500  0.000  0.000
Pt  0.000  0.000  0.000
Zn  0.500  0.500  0.500
O  0.000  0.000  0.500


- Look up the total magnetic moment of the fourth one.
  0.00 μB/cell